Entry P
Crystalline SeO2F2 at its relaxed geometry, computed with PBE-GGA.

Cell and atoms, written as POSCAR:
```
SeO2F2
1.0
3.7734 0.0000 0.0000
0.0000 3.7734 0.0000
0.0000 0.0000 4.0455
Se O F
1 2 2
direct
0.0000 0.0000 0.0000
0.0000 0.5000 0.0000
0.5000 0.0000 0.0000
0.0000 0.0000 0.5000
0.5000 0.5000 0.5000
```

Properties
Size of the total moment in μB per formula unit: 1.37

Entry Q
Crystalline SeO2F2 at its relaxed geometry, computed with PBE-GGA.

Cell and atoms, written as POSCAR:
```
SeO2F2
1.0
3.5835 0.0000 0.0000
0.0000 3.5835 0.0000
0.0000 0.0000 4.3436
Se O F
1 2 2
direct
0.0000 0.0000 0.0000
0.0000 0.5000 0.5000
0.5000 0.0000 0.5000
0.5000 0.5000 0.0000
0.5000 0.5000 0.5000
```

Properties
Size of the total moment in μB per formula unit: 0.21

Entry R
Crystalline SeO2F2 at its relaxed geometry, computed with PBE-GGA.

Cell and atoms, written as POSCAR:
```
SeO2F2
1.0
5.7600 0.0000 0.0000
0.0000 5.7600 0.0000
0.0000 0.0000 11.5359
Se O F
4 8 8
direct
0.0910 0.0910 0.0000
0.4090 0.5910 0.2500
0.5910 0.4090 0.7500
0.9090 0.9090 0.5000
0.0292 0.3297 0.9347
0.1703 0.5292 0.1847
0.3297 0.0292 0.0653
0.4708 0.8297 0.3153
0.5292 0.1703 0.8153
0.6703 0.9708 0.5653
0.8297 0.4708 0.6847
0.9708 0.6703 0.4347
0.0271 0.8632 0.9053
0.1368 0.9729 0.5947
0.3632 0.4729 0.6553
0.4729 0.3632 0.3447
0.5271 0.6368 0.8447
0.6368 0.5271 0.1553
0.8632 0.0271 0.0947
0.9729 0.1368 0.4053
```

Properties
Size of the total moment in μB per formula unit: 0.08

Entry S
Crystalline SeO2F2 at its relaxed geometry, computed with PBE-GGA.

Cell and atoms, written as POSCAR:
```
SeO2F2
1.0
3.8896 0.0000 0.0000
0.0000 3.8896 0.0000
0.0000 0.0000 3.6522
Se O F
1 2 2
direct
0.0000 0.0000 0.0000
0.5000 0.5000 0.0000
0.5000 0.5000 0.5000
0.0000 0.5000 0.5000
0.5000 0.0000 0.5000
```

Properties
Size of the total moment in μB per formula unit: 0.00

Stability summary: most stable entry R, least stable entry Q.

Entry P
Crystalline SiSeOF2 at its relaxed geometry, computed with PBE-GGA.

Cell and atoms, written as POSCAR:
```
SiSeOF2
1.0
4.3718 0.0000 0.0000
0.0000 4.3718 0.0000
0.0000 0.0000 3.3025
Si Se O F
1 1 1 2
direct
0.0000 0.0000 0.0000
0.5000 0.5000 0.5000
0.0000 0.0000 0.5000
0.0000 0.5000 0.0000
0.5000 0.0000 0.0000
```

Properties
Size of the total moment in μB per formula unit: 1.91

Entry Q
Crystalline SiSeOF2 at its relaxed geometry, computed with PBE-GGA.

Cell and atoms, written as POSCAR:
```
SiSeOF2
1.0
4.5709 0.0000 0.0000
0.0000 4.5709 0.0000
0.0000 0.0000 3.7724
Si Se O F
1 1 1 2
direct
0.0000 0.0000 0.0000
0.5000 0.5000 0.5000
0.5000 0.5000 0.0000
0.0000 0.5000 0.5000
0.5000 0.0000 0.5000
```

Properties
Size of the total moment in μB per formula unit: 0.15

Stability summary: most stable entry P, least stable entry Q.